DFT (GGA+U) results for a relaxed structure of VAg2P2O8.

Output
uncorrected energy = -6.58 eV per atom
space-group type = No. 14

Structure (POSCAR):
```
VAg2P2O8
1.0
7.7956 0.0000 0.0000
0.0000 14.0821 0.0000
-1.0690 0.0000 6.2712
V Ag P O
4 8 8 32
direct
0.2245 0.0750 0.2654
0.2245 0.4250 0.7654
0.7755 0.5750 0.2346
0.7755 0.9250 0.7346
0.0449 0.7138 0.6514
0.0449 0.7862 0.1514
0.4690 0.6469 0.5754
0.4690 0.8531 0.0754
0.5310 0.1469 0.9246
0.5310 0.3531 0.4246
0.9551 0.2138 0.8486
0.9551 0.2862 0.3486
0.1731 0.0207 0.7486
0.1731 0.4794 0.2486
0.3610 0.6253 0.0362
0.3610 0.8747 0.5362
0.6390 0.1253 0.4638
0.6390 0.3747 0.9638
0.8269 0.5206 0.7514
0.8269 0.9794 0.2514
0.0208 0.5185 0.7407
0.0208 0.9815 0.2407
0.1045 0.1715 0.1799
0.1045 0.3285 0.6799
0.2218 0.0893 0.5814
0.2218 0.4107 0.0814
0.2257 0.5854 0.1856
0.2257 0.9146 0.6856
0.2838 0.0423 0.9682
0.2838 0.4577 0.4682
0.2847 0.7219 0.9579
0.2847 0.7781 0.4579
0.3646 0.5543 0.8543
0.3646 0.9457 0.3543
0.4635 0.1374 0.3142
0.4635 0.3626 0.8142
0.5365 0.6374 0.1858
0.5365 0.8626 0.6858
0.6354 0.0543 0.6457
0.6354 0.4457 0.1457
0.7153 0.2219 0.5421
0.7153 0.2781 0.0421
0.7162 0.5423 0.5318
0.7162 0.9577 0.0318
0.7743 0.0854 0.3144
0.7743 0.4146 0.8144
0.7782 0.5893 0.9186
0.7782 0.9107 0.4186
0.8955 0.6715 0.3201
0.8955 0.8285 0.8201
0.9792 0.0185 0.7593
0.9792 0.4815 0.2593
```